1.
Ga3AgPt | PBE-GGA | optimized geometry

Cell: 4.854 4.854 4.854 Å, 90.00 90.00 90.00°
Fractional coordinates of all 5 atoms:
Ga  0.000  0.000  0.500
Ga  0.000  0.500  0.000
Ga  0.500  0.000  0.000
Ag  0.500  0.500  0.500
Pt  0.000  0.000  0.000

Calculated values
Electronic total energy   -3.658 eV per atom
Formation enthalpy at 0 K   -0.0632 eV/atom
Distance to the lowest polymorph of the same formula   0.036 eV/atom
Space-group type   Pm-3m (221)

2.
Tl5AgS4 | PBE-GGA | optimized geometry

Cell: 8.603 9.614 7.789 Å, 90.00 90.00 90.00°
Fractional coordinates of all 20 atoms:
Tl  0.021  0.058  0.236
Tl  0.021  0.442  0.236
Tl  0.250  0.750  0.379
Tl  0.479  0.058  0.236
Tl  0.479  0.442  0.236
Tl  0.521  0.558  0.764
Tl  0.521  0.942  0.764
Tl  0.750  0.250  0.621
Tl  0.979  0.558  0.764
Tl  0.979  0.942  0.764
Ag  0.250  0.250  0.750
Ag  0.750  0.750  0.250
S  0.020  0.750  0.160
S  0.250  0.515  0.538
S  0.250  0.985  0.538
S  0.480  0.750  0.160
S  0.520  0.250  0.840
S  0.750  0.015  0.462
S  0.750  0.485  0.462
S  0.980  0.250  0.840

Calculated values
Electronic total energy   -3.347 eV per atom
Space-group type   Pmmn (59)

3.
Dy3Y2In3 | PBE-GGA | optimized geometry

Cell: 4.917 4.930 9.120 Å, 90.00 90.00 90.00°
Fractional coordinates of all 8 atoms:
Dy  0.000  0.000  0.000
Dy  0.500  0.000  0.263
Dy  0.500  0.000  0.737
Y  0.000  0.500  0.265
Y  0.000  0.500  0.735
In  0.000  0.000  0.500
In  0.500  0.500  0.000
In  0.500  0.500  0.500

Calculated values
Electronic total energy   -4.729 eV per atom
Formation enthalpy at 0 K   -0.3605 eV/atom
Distance to the lowest polymorph of the same formula   0.005 eV/atom
Space-group type   Pmmm (47)

4.
NpZnPtAu | PBE-GGA | optimized geometry

Cell: 4.796 4.796 4.796 Å, 60.00 60.00 60.00°
Fractional coordinates of all 4 atoms:
Np  0.000  0.000  0.000
Zn  0.500  0.500  0.500
Pt  0.250  0.250  0.250
Au  0.750  0.750  0.750

Calculated values
Electronic total energy   -6.163 eV per atom
Formation enthalpy at 0 K   -0.2797 eV/atom
Space-group type   F-43m (216)

5.
SrLi2AgSn | PBE-GGA | optimized geometry

Cell: 5.072 5.072 5.263 Å, 90.00 90.00 90.00°
Fractional coordinates of all 5 atoms:
Sr  0.000  0.000  0.000
Li  0.000  0.500  0.500
Li  0.500  0.000  0.500
Ag  0.500  0.500  0.500
Sn  0.500  0.500  0.000

Calculated values
Electronic total energy   -2.651 eV per atom
Formation enthalpy at 0 K   -0.1782 eV/atom
Space-group type   P4/mmm (123)

6.
LaPr3Te3 | PBE-GGA | optimized geometry

Cell: 8.246 8.246 8.246 Å, 69.66 69.66 69.66°
Fractional coordinates of all 14 atoms:
La  0.181  0.181  0.181
La  0.819  0.819  0.819
Pr  0.156  0.666  0.418
Pr  0.334  0.582  0.844
Pr  0.418  0.156  0.666
Pr  0.582  0.844  0.334
Pr  0.666  0.418  0.156
Pr  0.844  0.334  0.582
Te  0.042  0.407  0.813
Te  0.187  0.958  0.593
Te  0.407  0.813  0.042
Te  0.593  0.187  0.958
Te  0.813  0.042  0.407
Te  0.958  0.593  0.187

Calculated values
Electronic total energy   -5.267 eV per atom
Space-group type   R-3 (148)

7.
Dy12Y2Sc5 | PBE-GGA | optimized geometry

Cell: 9.101 9.101 8.256 Å, 90.55 90.55 57.30°
Fractional coordinates of all 19 atoms:
Dy  0.054  0.054  0.283
Dy  0.103  0.678  0.384
Dy  0.108  0.519  0.776
Dy  0.322  0.897  0.616
Dy  0.333  0.333  0.131
Dy  0.481  0.892  0.224
Dy  0.519  0.108  0.776
Dy  0.667  0.667  0.869
Dy  0.678  0.103  0.384
Dy  0.892  0.481  0.224
Dy  0.897  0.322  0.616
Dy  0.946  0.946  0.717
Y  0.288  0.712  0.000
Y  0.712  0.288  0.000
Sc  0.147  0.147  0.942
Sc  0.251  0.251  0.455
Sc  0.500  0.500  0.500
Sc  0.749  0.749  0.545
Sc  0.853  0.853  0.058

Calculated values
Electronic total energy   -5.104 eV per atom
Formation enthalpy at 0 K   0.1489 eV/atom
Space-group type   C2/m (12)

8.
YNiSeBr2 | PBE-GGA | optimized geometry

Cell: 4.759 4.759 5.034 Å, 90.00 90.00 90.00°
Fractional coordinates of all 5 atoms:
Y  0.000  0.000  0.000
Ni  0.500  0.500  0.500
Se  0.500  0.500  0.000
Br  0.000  0.500  0.500
Br  0.500  0.000  0.500

Calculated values
Electronic total energy   -4.393 eV per atom
Distance to the lowest polymorph of the same formula   0.000 eV/atom
Space-group type   P4/mmm (123)

9.
Cr2Fe2Tc | PBE-GGA | optimized geometry

Cell: 6.750 6.750 2.593 Å, 90.00 90.00 90.00°
Fractional coordinates of all 10 atoms:
Cr  0.167  0.333  0.000
Cr  0.333  0.833  0.000
Cr  0.667  0.167  0.000
Cr  0.833  0.667  0.000
Fe  0.129  0.629  0.500
Fe  0.371  0.129  0.500
Fe  0.629  0.871  0.500
Fe  0.871  0.371  0.500
Tc  0.000  0.000  0.500
Tc  0.500  0.500  0.500

Calculated values
Electronic total energy   -9.138 eV per atom
Formation enthalpy at 0 K   0.1692 eV/atom
Distance to the lowest polymorph of the same formula   0.000 eV/atom
Space-group type   P4/mbm (127)

10.
AcGaSe2 | PBE-GGA | optimized geometry

Cell: 5.123 5.123 3.945 Å, 90.00 90.00 90.00°
Fractional coordinates of all 4 atoms:
Ac  0.000  0.000  0.000
Ga  0.500  0.500  0.000
Se  0.000  0.500  0.500
Se  0.500  0.000  0.500

Calculated values
Electronic total energy   -4.719 eV per atom
Space-group type   P4/mmm (123)

11.
LaCrRh | PBE-GGA | optimized geometry

Cell: 4.358 4.358 4.157 Å, 90.00 90.00 120.00°
Fractional coordinates of all 3 atoms:
La  0.000  0.000  0.000
Cr  0.667  0.333  0.500
Rh  0.333  0.667  0.500

Calculated values
Electronic total energy   -7.383 eV per atom
Formation enthalpy at 0 K   -0.0826 eV/atom
Distance to the lowest polymorph of the same formula   0.000 eV/atom
Space-group type   P-6m2 (187)

Question: Among the records above, which one has the lowest electronic total energy?
Answer: Cr2Fe2Tc

Question: What is the electronic total energy in the third record?
Answer: -4.729 eV per atom